1.
DFT (PBE-GGA) results for crystalline CsRbTlCd at its relaxed geometry.

```
CsRbTlCd
1.0
-3.949 -3.285 1.591
3.368 2.105 3.626
-3.951 8.494 -1.292
Cd Rb Tl Cs
1 1 1 1
direct
0.834 0.282 0.116
0.998 0.863 0.861
0.502 0.615 0.117
0.358 0.044 0.402
```

ΔH_f (0 K) = -0.265 eV per formula unit
space-group type = Cm



2.
DFT (PBE-GGA) results for crystalline Th6FeHg2 at its relaxed geometry.

```
Th6FeHg2
1.0
3.714 0.000 0.000
0.000 7.830 -4.076
0.000 -0.391 8.819
Th Fe Hg
6 1 2
direct
0.000 0.235 0.000
0.500 0.605 0.000
0.000 0.000 0.235
0.500 0.000 0.605
0.500 0.395 0.395
0.000 0.764 0.764
0.500 0.000 0.000
0.000 0.667 0.333
0.000 0.333 0.667
```

ΔH_f (0 K) = -1.486 eV per formula unit
space-group type = P-62m